An optimized crystal structure of Sm2US5, computed with PBE-GGA.

a b c (Å): 11.8485 7.9954 7.4384
angles (deg): 90.00 90.00 90.00
Closest atoms and distances in Å follow each position.
Element x y z (fractional)
S (0.0001, 0.7500, 0.0445)  1 U 2.85, 4 Sm 2.90-2.95, 1 S 3.19
S (0.4029, 0.0431, 0.1616)  2 U 2.65-2.71, 2 Sm 2.86-2.89
S (0.4029, 0.4569, 0.1616)  2 U 2.65-2.71, 2 Sm 2.86-2.89
S (0.6860, 0.2500, 0.1716)  1 U 2.77, 4 Sm 2.94-3.04
S (0.7153, 0.7500, 0.1979)  1 U 2.81, 4 Sm 2.88-2.92
S (0.2152, 0.7500, 0.3021)  1 U 2.81, 4 Sm 2.88-2.92
S (0.1860, 0.2500, 0.3284)  1 U 2.77, 4 Sm 2.94-3.04
S (0.9029, 0.0431, 0.3384)  2 U 2.65-2.71, 2 Sm 2.86-2.89
S (0.9029, 0.4569, 0.3384)  2 U 2.65-2.71, 2 Sm 2.86-2.89
S (0.5001, 0.7500, 0.4555)  1 U 2.85, 4 Sm 2.90-2.95, 1 S 3.19
S (0.4999, 0.2500, 0.5445)  1 U 2.85, 4 Sm 2.90-2.95, 1 S 3.19
S (0.0971, 0.5431, 0.6616)  2 U 2.65-2.71, 2 Sm 2.86-2.89
S (0.0971, 0.9569, 0.6616)  2 U 2.65-2.71, 2 Sm 2.86-2.89
S (0.8140, 0.7500, 0.6716)  1 U 2.77, 4 Sm 2.94-3.04
S (0.7848, 0.2500, 0.6979)  1 U 2.81, 4 Sm 2.88-2.92
S (0.2848, 0.2500, 0.8021)  1 U 2.81, 4 Sm 2.88-2.92
S (0.3140, 0.7500, 0.8284)  1 U 2.77, 4 Sm 2.94-3.04
S (0.5971, 0.5431, 0.8384)  2 U 2.65-2.71, 2 Sm 2.86-2.89
S (0.5971, 0.9569, 0.8384)  2 U 2.65-2.71, 2 Sm 2.86-2.89
S (0.9999, 0.2500, 0.9555)  1 U 2.85, 4 Sm 2.90-2.95, 1 S 3.19
Sm (0.1777, 0.5009, 0.0218)  8 S 2.86-3.04
Sm (0.1777, 0.9991, 0.0218)  8 S 2.86-3.04
Sm (0.6777, 0.5009, 0.4782)  8 S 2.86-3.04
Sm (0.6777, 0.9991, 0.4782)  8 S 2.86-3.04
Sm (0.3223, 0.0009, 0.5218)  8 S 2.86-3.04
Sm (0.3223, 0.4991, 0.5218)  8 S 2.86-3.04
Sm (0.8223, 0.0009, 0.9782)  8 S 2.86-3.04
Sm (0.8223, 0.4991, 0.9782)  8 S 2.86-3.04
U (0.4913, 0.7500, 0.0721)  7 S 2.65-2.85
U (0.9913, 0.7500, 0.4279)  7 S 2.65-2.85
U (0.0087, 0.2500, 0.5721)  7 S 2.65-2.85
U (0.5087, 0.2500, 0.9279)  7 S 2.65-2.85

## Properties
Theoretical density (Mg/m³): 6.59
Total DFT energy (no corrections) (eV per atom): -6.99


An optimized crystal structure of SmYS2, computed with PBE-GGA.

a b c (Å): 3.9592 3.9592 5.6009
angles (deg): 90.00 90.00 90.00
Closest atoms and distances in Å follow each position.
Element x y z (fractional)
S (0.0000, 0.0000, 0.0000)  4 Y 2.80, 2 Sm 2.80
S (0.5000, 0.5000, 0.5000)  4 Sm 2.80, 2 Y 2.80
Sm (0.0000, 0.0000, 0.5000)  6 S 2.80
Y (0.5000, 0.5000, 0.0000)  6 S 2.80

## Properties
Theoretical density (Mg/m³): 5.74
Total DFT energy (no corrections) (eV per atom): -6.86


An optimized crystal structure of SmY2S3, computed with PBE-GGA.

a b c (Å): 3.9382 3.9382 9.6848
angles (deg): 90.00 90.00 120.00
Closest atoms and distances in Å follow each position.
Element x y z (fractional)
S (0.0000, 0.0000, 0.0000)  6 Y 2.78
S (0.6667, 0.3333, 0.3263)  3 Y 2.76, 3 Sm 2.83
S (0.3333, 0.6667, 0.6737)  3 Y 2.76, 3 Sm 2.83
Sm (0.0000, 0.0000, 0.5000)  6 S 2.83
Y (0.3333, 0.6667, 0.1655)  6 S 2.76-2.78
Y (0.6667, 0.3333, 0.8345)  6 S 2.76-2.78

## Properties
Theoretical density (Mg/m³): 5.42
Total DFT energy (no corrections) (eV per atom): -7.01


An optimized crystal structure of Sm2ZrS5, computed with PBE-GGA.

a b c (Å): 11.6130 7.9199 7.3378
angles (deg): 90.00 90.00 90.00
Closest atoms and distances in Å follow each position.
Element x y z (fractional)
S (0.9964, 0.2500, 0.0528)  1 Zr 2.72, 4 Sm 2.88-2.90
S (0.6840, 0.7500, 0.1622)  1 Zr 2.69, 4 Sm 2.91-3.01
S (0.4108, 0.5371, 0.1646)  2 Zr 2.54-2.69
S (0.4108, 0.9629, 0.1646)  2 Zr 2.54-2.69
S (0.7078, 0.2500, 0.1836)  1 Zr 2.62, 4 Sm 2.87-2.90
S (0.2078, 0.2500, 0.3164)  1 Zr 2.62, 4 Sm 2.87-2.90
S (0.9108, 0.5371, 0.3354)  2 Zr 2.54-2.69
S (0.9108, 0.9629, 0.3354)  2 Zr 2.54-2.69
S (0.1840, 0.7500, 0.3378)  1 Zr 2.69, 4 Sm 2.91-3.01
S (0.4964, 0.2500, 0.4472)  1 Zr 2.72, 4 Sm 2.88-2.90
S (0.5036, 0.7500, 0.5528)  1 Zr 2.72, 4 Sm 2.88-2.90
S (0.8160, 0.2500, 0.6622)  1 Zr 2.69, 4 Sm 2.91-3.01
S (0.0892, 0.0371, 0.6646)  2 Zr 2.54-2.69
S (0.0892, 0.4629, 0.6646)  2 Zr 2.54-2.69
S (0.7922, 0.7500, 0.6836)  1 Zr 2.62, 4 Sm 2.87-2.90
S (0.2922, 0.7500, 0.8164)  1 Zr 2.62, 4 Sm 2.87-2.90
S (0.5892, 0.0371, 0.8354)  2 Zr 2.54-2.69
S (0.5892, 0.4629, 0.8354)  2 Zr 2.54-2.69
S (0.3160, 0.2500, 0.8378)  1 Zr 2.69, 4 Sm 2.91-3.01
S (0.0036, 0.7500, 0.9472)  1 Zr 2.72, 4 Sm 2.88-2.90
Sm (0.1771, 0.0017, 0.0307)  8 S 2.87-3.01
Sm (0.1771, 0.4983, 0.0307)  8 S 2.87-3.01
Sm (0.6771, 0.0017, 0.4693)  8 S 2.87-3.01
Sm (0.6771, 0.4983, 0.4693)  8 S 2.87-3.01
Sm (0.3229, 0.5017, 0.5307)  8 S 2.87-3.01
Sm (0.3229, 0.9983, 0.5307)  8 S 2.87-3.01
Sm (0.8229, 0.5017, 0.9693)  8 S 2.87-3.01
Sm (0.8229, 0.9983, 0.9693)  8 S 2.87-3.01
Zr (0.4920, 0.2500, 0.0770)  7 S 2.54-2.72
Zr (0.9920, 0.2500, 0.4230)  7 S 2.54-2.72
Zr (0.0080, 0.7500, 0.5770)  7 S 2.54-2.72
Zr (0.5080, 0.7500, 0.9230)  7 S 2.54-2.72

## Properties
Theoretical density (Mg/m³): 5.44
Total DFT energy (no corrections) (eV per atom): -6.72


An optimized crystal structure of TaSnS4, computed with PBE-GGA.

a b c (Å): 7.2171 7.2171 6.5003
angles (deg): 115.75 115.75 28.56
Closest atoms and distances in Å follow each position.
Element x y z (fractional)
S (0.8854, 0.8854, 0.2343)  2 Ta 2.50, 1 Sn 2.66
S (0.6155, 0.6155, 0.3050)  1 Ta 2.46, 2 Sn 2.62
S (0.3845, 0.3845, 0.6950)  1 Ta 2.46, 2 Sn 2.62
S (0.1146, 0.1146, 0.7657)  2 Ta 2.50, 1 Sn 2.66
Sn (0.0000, 0.0000, 0.0000)  6 S 2.62-2.66
Ta (0.5000, 0.5000, 0.5000)  6 S 2.46-2.50

## Properties
Theoretical density (Mg/m³): 4.91
Total DFT energy (no corrections) (eV per atom): -6.06


An optimized crystal structure of TbTlSnS3, computed with PBE-GGA.

a b c (Å): 8.5786 8.5786 10.9150
angles (deg): 90.00 90.00 153.02
Closest atoms and distances in Å follow each position.
Element x y z (fractional)
S (0.8880, 0.1120, 0.0078)  2 Tb 2.74, 1 Sn 2.83, 1 Tl 2.95
S (0.5238, 0.4762, 0.2500)  2 Sn 2.65, 2 Tb 2.76
S (0.8880, 0.1120, 0.4922)  2 Tb 2.74, 1 Sn 2.83, 1 Tl 2.95
S (0.1120, 0.8880, 0.5078)  2 Tb 2.74, 1 Sn 2.83, 1 Tl 2.95
S (0.4762, 0.5238, 0.7500)  2 Sn 2.65, 2 Tb 2.76
S (0.1120, 0.8880, 0.9922)  2 Tb 2.74, 1 Sn 2.83, 1 Tl 2.95
Sn (0.1283, 0.8717, 0.2500)  4 S 2.65-2.83
Sn (0.8717, 0.1283, 0.7500)  4 S 2.65-2.83
Tb (0.5000, 0.5000, 0.0000)  6 S 2.74-2.76
Tb (0.5000, 0.5000, 0.5000)  6 S 2.74-2.76
Tl (0.8090, 0.1910, 0.2500)  2 S 2.95
Tl (0.1910, 0.8090, 0.7500)  2 S 2.95

## Properties
Theoretical density (Mg/m³): 5.27
Total DFT energy (no corrections) (eV per atom): -4.93


An optimized crystal structure of Tb2Tl2SnS6, computed with PBE-GGA.

a b c (Å): 6.8101 6.8101 7.6904
angles (deg): 90.00 90.00 120.00
Closest atoms and distances in Å follow each position.
Element x y z (fractional)
S (0.3210, 0.0087, 0.1938)  1 Sn 2.62, 2 Tb 2.75-2.78
S (0.9913, 0.3123, 0.1938)  1 Sn 2.62, 2 Tb 2.75-2.78
S (0.6877, 0.6790, 0.1938)  1 Sn 2.62, 2 Tb 2.75-2.78
S (0.3123, 0.3210, 0.8062)  1 Sn 2.62, 2 Tb 2.75-2.78
S (0.0087, 0.6877, 0.8062)  1 Sn 2.62, 2 Tb 2.75-2.78
S (0.6790, 0.9913, 0.8062)  1 Sn 2.62, 2 Tb 2.75-2.78
Sn (0.0000, 0.0000, 0.0000)  6 S 2.62
Tb (0.3333, 0.6667, 0.0125)  6 S 2.75-2.78
Tb (0.6667, 0.3333, 0.9875)  6 S 2.75-2.78
Tl (0.6667, 0.3333, 0.4845)  6 S 3.20-3.43
Tl (0.3333, 0.6667, 0.5155)  6 S 3.20-3.43

## Properties
Theoretical density (Mg/m³): 5.58
Total DFT energy (no corrections) (eV per atom): -5.01


An optimized crystal structure of Tl2SnWS6, computed with PBE-GGA.

a b c (Å): 6.7437 6.9928 11.7573
angles (deg): 90.00 123.82 90.00
Closest atoms and distances in Å follow each position.
Element x y z (fractional)
S (0.3463, 0.8218, 0.0538)  1 W 2.40
S (0.2286, 0.2871, 0.0607)  1 W 2.39
S (0.1153, 0.9614, 0.2322)  1 W 2.40
S (0.8847, 0.4614, 0.2678)  1 W 2.40
S (0.7714, 0.7871, 0.4393)  1 W 2.39
S (0.6537, 0.3218, 0.4462)  1 W 2.40
S (0.3463, 0.6782, 0.5538)  1 W 2.40
S (0.2286, 0.2129, 0.5607)  1 W 2.39
S (0.1153, 0.5386, 0.7322)  1 W 2.40
S (0.8847, 0.0386, 0.7678)  1 W 2.40
S (0.7714, 0.7129, 0.9393)  1 W 2.39
S (0.6537, 0.1782, 0.9462)  1 W 2.40
Sn (0.5000, 0.5000, 0.0000)  6 S 2.70-2.76
Sn (0.5000, 0.0000, 0.5000)  6 S 2.70-2.76
Tl (0.7151, 0.0733, 0.2402)  5 S 2.83-3.12
Tl (0.2849, 0.5733, 0.2598)  5 S 2.83-3.12
Tl (0.7151, 0.4267, 0.7402)  5 S 2.83-3.12
Tl (0.2849, 0.9267, 0.7598)  5 S 2.83-3.12
W (0.0000, 0.0000, 0.0000)  6 S 2.39-2.40
W (0.0000, 0.5000, 0.5000)  6 S 2.39-2.40

## Properties
Theoretical density (Mg/m³): 6.52
Total DFT energy (no corrections) (eV per atom): -4.87